Record 1
The following is a DFT calculation (PBE) of a relaxed structure of UGaGeAu.

## Properties
Energy of formation (eV/atom): -0.113

Lattice parameters (Å, degrees): 4.8513 4.8513 4.8513 60.00 60.00 60.00
With the nearest neighbours (Å) after each atom.
Fractional positions:
1 Au 0.2500 0.2500 0.2500  4 U 2.97, 4 Ga 2.97
2 U 0.0000 0.0000 0.0000  4 Ge 2.97, 4 Au 2.97
3 Ga 0.5000 0.5000 0.5000  4 Au 2.97, 4 Ge 2.97
4 Ge 0.7500 0.7500 0.7500  4 U 2.97, 4 Ga 2.97

---

Record 2
The following is a DFT calculation (PBE) of a relaxed structure of Sc2PbS.

## Properties
Distance to the lowest polymorph of the same formula (meV/atom): 0

Lattice parameters (Å, degrees): 3.5933 3.5933 7.9808 76.99 76.99 60.00
With the nearest neighbours (Å) after each atom.
Fractional positions:
1 Sc 0.2702 0.2702 0.1893  3 S 2.55
2 Pb 0.4992 0.4992 0.5023  6 Sc 3.15-3.18
3 S 0.6674 0.6674 0.9979  6 Sc 2.53-2.55
4 Sc 0.0632 0.0632 0.8104  3 S 2.53

---

Record 3
The following is a DFT calculation (PBE) of a relaxed structure of KCuBr2.

## Properties
Distance to the lowest polymorph of the same formula (meV/atom): 16

Lattice parameters (Å, degrees): 6.3149 6.5942 6.6675 103.35 99.14 94.06
With the nearest neighbours (Å) after each atom.
Fractional positions:
1 Br 0.1111 0.6602 0.3667  1 Cu 2.46
2 Br 0.5989 0.1408 0.3888  1 Cu 2.36
3 Br 0.9550 0.9832 0.9368  2 Cu 2.39-2.49
4 K 0.6317 0.6635 0.4931  6 Br 3.26-3.46, 1 Cu 3.49
5 Cu 0.6230 0.8994 0.0737  3 Br 2.36-2.49
6 Cu 0.2032 0.7602 0.0548  3 Br 2.39-2.46
7 K 0.1204 0.1850 0.5094  5 Br 3.24-3.49
8 Br 0.4627 0.5494 0.9149  2 Cu 2.38-2.39

---

Record 4
The following is a DFT calculation (PBE) of a relaxed structure of Te2AsBr.

## Properties
Distance to the lowest polymorph of the same formula (meV/atom): 66

Lattice parameters (Å, degrees): 3.9398 7.0481 5.7915 52.94 90.00 90.00
With the nearest neighbours (Å) after each atom.
Fractional positions:
1 Br 0.5000 0.7564 0.7458  2 Te 2.92
2 Te 0.0000 0.0657 0.0137  1 As 2.56
3 As 0.0000 0.4130 0.4724  3 Te 2.56-2.80
4 Te 0.5000 0.2650 0.2681  2 As 2.80, 2 Br 2.92

---

Record 5
The following is a DFT calculation (PBE) of a relaxed structure of K2RbCdHg.

## Properties
Energy of formation (eV/atom): -0.035
Distance to the lowest polymorph of the same formula (meV/atom): 0

Lattice parameters (Å, degrees): 6.6842 6.6842 5.9874 90.00 90.00 90.00
With the nearest neighbours (Å) after each atom.
Fractional positions:
1 Cd 0.0000 0.0000 0.5000  2 Hg 2.99
2 K 0.0000 0.5000 0.0000  2 Hg 3.34
3 Hg 0.0000 0.0000 0.0000  2 Cd 2.99, 4 K 3.34
4 Rb 0.5000 0.5000 0.5000  8 K 4.49, 4 Cd 4.73
5 K 0.5000 0.0000 0.0000  2 Hg 3.34

---

Record 6
The following is a DFT calculation (PBE) of a relaxed structure of CdTeI2N.

## Properties
Distance to the lowest polymorph of the same formula (meV/atom): 0

Lattice parameters (Å, degrees): 6.2941 6.2941 4.0182 90.00 90.00 90.00
With the nearest neighbours (Å) after each atom.
Fractional positions:
1 Te 0.0000 0.0000 0.0000  2 N 2.01
2 N 0.0000 0.0000 0.5000  2 Te 2.01
3 Cd 0.5000 0.5000 0.5000  8 I 3.73, 2 Cd 4.02
4 I 0.5000 0.0000 0.0000  2 Te 3.15
5 I 0.0000 0.5000 0.0000  2 Te 3.15

---

Record 7
The following is a DFT calculation (PBE) of a relaxed structure of Rb2MgCuCl5.

## Properties
E_tot (eV per atom): -3.4491

Lattice parameters (Å, degrees): 3.9655 9.9026 13.1792 90.00 90.00 101.55
With the nearest neighbours (Å) after each atom.
Fractional positions:
1 Cu 0.4407 0.8814 0.4427  3 Cl 2.23-2.31
2 Rb 0.1266 0.2532 0.3126  7 Cl 3.25-3.52
3 Rb 0.8785 0.7570 0.1965  7 Cl 3.26-3.52
4 Cl 0.9223 0.8446 0.5291  2 Cu 2.31, 1 Mg 2.56
5 Cu 0.5593 0.1186 0.9427  3 Cl 2.23-2.31
6 Mg 0.7910 0.5819 0.5155  6 Cl 2.44-2.63
7 Cl 0.6990 0.3981 0.8851  2 Mg 2.63, 1 Cu 2.82
8 Cl 0.7092 0.4183 0.1434  2 Mg 2.60
9 Cl 0.6654 0.3308 0.5061  1 Mg 2.44
10 Cl 0.2908 0.5817 0.6434  2 Mg 2.60
11 Cl 0.3346 0.6692 0.0061  1 Mg 2.44
12 Rb 0.8734 0.7468 0.8126  7 Cl 3.25-3.52
13 Rb 0.1215 0.2430 0.6965  7 Cl 3.26-3.52
14 Cl 0.5055 0.0109 0.7930  1 Cu 2.23
15 Cl 0.0777 0.1554 0.0291  2 Cu 2.31, 1 Mg 2.56
16 Mg 0.2090 0.4181 0.0155  6 Cl 2.44-2.63
17 Cl 0.3010 0.6019 0.3851  2 Mg 2.63, 1 Cu 2.82
18 Cl 0.4945 0.9891 0.2930  1 Cu 2.23

---

Record 8
The following is a DFT calculation (PBE) of a relaxed structure of Pm2NdTm3As6.

## Properties
Energy of formation (eV/atom): -1.505

Lattice parameters (Å, degrees): 4.1610 8.3097 9.2924 102.81 102.94 90.00
With the nearest neighbours (Å) after each atom.
Fractional positions:
1 Pm 0.8332 0.6665 0.6663  6 As 2.98
2 Tm 0.1666 0.8331 0.3331  6 As 2.89-2.90
3 As 0.0023 0.7424 0.0047  3 Tm 2.89-2.90, 1 Pm 2.98, 2 Nd 2.99
4 As 0.6642 0.5893 0.3284  3 Tm 2.90, 3 Pm 2.98
5 Pm 0.1668 0.3335 0.3337  6 As 2.98
6 Tm 0.8334 0.1669 0.6669  6 As 2.89-2.90
7 Nd 0.5000 0.0000 0.0000  6 As 2.99
8 Tm 0.5000 0.5000 0.0000  6 As 2.89-2.90
9 As 0.3358 0.4107 0.6716  3 Tm 2.90, 3 Pm 2.98
10 As 0.6696 0.0775 0.3393  3 Tm 2.89-2.90, 2 Pm 2.98, 1 Nd 2.99
11 As 0.9977 0.2576 0.9953  3 Tm 2.89-2.90, 1 Pm 2.98, 2 Nd 2.99
12 As 0.3304 0.9225 0.6607  3 Tm 2.89-2.90, 2 Pm 2.98, 1 Nd 2.99

---

Record 9
The following is a DFT calculation (PBE) of a relaxed structure of Mg2Cd2Ag7.

## Properties
Energy of formation (eV/atom): -0.021
Distance to the lowest polymorph of the same formula (meV/atom): 47

Lattice parameters (Å, degrees): 7.9385 5.5883 5.5883 118.71 93.83 93.83
With the nearest neighbours (Å) after each atom.
Fractional positions:
1 Cd 0.7966 0.4258 0.4258  6 Ag 2.76-3.09
2 Ag 0.0000 0.0000 0.0000  6 Ag 2.84-3.01, 2 Cd 3.09
3 Ag 0.8226 0.4926 0.9703  1 Mg 2.75, 2 Cd 2.76-2.87, 5 Ag 2.81-3.01
4 Cd 0.2034 0.5742 0.5742  6 Ag 2.76-3.09
5 Mg 0.5000 0.2991 0.7009  4 Ag 2.75-3.02, 2 Mg 3.00
6 Ag 0.6406 0.8835 0.8835  4 Ag 2.74-2.91, 2 Mg 3.02, 1 Cd 3.03
7 Ag 0.1774 0.0297 0.5074  1 Mg 2.75, 2 Cd 2.76-2.87, 5 Ag 2.81-3.01
8 Mg 0.5000 0.7009 0.2991  4 Ag 2.75-3.02, 2 Mg 3.00
9 Ag 0.8226 0.9703 0.4926  1 Mg 2.75, 2 Cd 2.76-2.87, 5 Ag 2.81-3.01
10 Ag 0.1774 0.5074 0.0297  1 Mg 2.75, 2 Cd 2.76-2.87, 5 Ag 2.81-3.01
11 Ag 0.3594 0.1165 0.1165  4 Ag 2.74-2.91, 2 Mg 3.02, 1 Cd 3.03

---

Record 10
The following is a DFT calculation (PBE) of a relaxed structure of BeP2PbO8.

## Properties
E_tot (eV per atom): -6.5854

Lattice parameters (Å, degrees): 5.0564 5.0564 6.8978 90.00 90.00 120.00
With the nearest neighbours (Å) after each atom.
Fractional positions:
1 O 0.3323 0.1661 0.3432  1 P 1.54
2 O 0.8339 0.1662 0.3432  1 P 1.54
3 O 0.1662 0.3323 0.6568  1 P 1.54
4 Be 0.0000 0.0000 0.5000  6 O 1.81
5 Pb 0.0000 0.0000 0.0000  12 O 2.78-2.94
6 O 0.1661 0.8338 0.6568  1 P 1.54
7 O 0.3333 0.6667 0.9505  1 P 1.55
8 P 0.3333 0.6667 0.7261  4 O 1.54-1.55
9 P 0.6667 0.3333 0.2739  4 O 1.54-1.55
10 O 0.8338 0.6677 0.3432  1 P 1.54
11 O 0.6667 0.3333 0.0495  1 P 1.55
12 O 0.6677 0.8339 0.6568  1 P 1.54

---

Record 11
The following is a DFT calculation (PBE) of a relaxed structure of Ba3La2UP6.

## Properties
Energy of formation (eV/atom): -1.175

Lattice parameters (Å, degrees): 7.4982 7.4982 7.7386 99.32 99.32 119.96
With the nearest neighbours (Å) after each atom.
Fractional positions:
1 La 0.6660 0.3340 0.0000  6 P 3.02
2 U 0.0000 0.0000 0.0000  6 P 2.73
3 P 0.2344 0.2344 0.7943  1 U 2.73, 2 La 3.02
4 P 0.0679 0.3725 0.2047  1 U 2.73, 2 La 3.02
5 P 0.9321 0.6275 0.7953  1 U 2.73, 2 La 3.02
6 P 0.7656 0.7656 0.2057  1 U 2.73, 2 La 3.02
7 Ba 0.5000 0.5000 0.5000  6 P 3.23-3.48
8 P 0.6275 0.9321 0.7953  1 U 2.73, 2 La 3.02
9 Ba 0.8297 0.1703 0.5000  6 P 3.23-3.44
10 P 0.3725 0.0679 0.2047  1 U 2.73, 2 La 3.02
11 Ba 0.1703 0.8297 0.5000  6 P 3.23-3.44
12 La 0.3340 0.6660 0.0000  6 P 3.02

---

Record 12
The following is a DFT calculation (PBE) of a relaxed structure of CaMgRe2.

## Properties
Energy of formation (eV/atom): 0.730

Lattice parameters (Å, degrees): 3.4885 3.4885 6.5259 90.00 90.00 90.00
With the nearest neighbours (Å) after each atom.
Fractional positions:
1 Re 0.0000 0.0000 0.9278  1 Re 2.32
2 Mg 0.5000 0.5000 0.7500  8 Re 2.73
3 Re 0.0000 0.0000 0.5722  1 Re 2.32
4 Ca 0.5000 0.5000 0.2500  8 Re 3.24, 2 Mg 3.26, 4 Ca 3.49

---

Record 13
The following is a DFT calculation (PBE) of a relaxed structure of ScPaO4.

## Properties
E_tot (eV per atom): -9.5300

Lattice parameters (Å, degrees): 5.2426 5.2426 6.4527 113.97 113.97 90.00
With the nearest neighbours (Å) after each atom.
Fractional positions:
1 O 0.8750 0.8768 0.2500  2 Sc 2.27, 2 Pa 2.28
2 O 0.6268 0.1250 0.7500  2 Sc 2.27, 2 Pa 2.28
3 Sc 0.0000 0.0000 0.0000  8 O 2.27
4 Sc 0.7500 0.2500 0.5000  8 O 2.27
5 O 0.6268 0.6250 0.7500  2 Sc 2.27, 2 Pa 2.28
6 O 0.1232 0.1250 0.7500  2 Sc 2.27, 2 Pa 2.28
7 Pa 0.5000 0.5000 0.0000  8 O 2.28
8 O 0.3750 0.8768 0.2500  2 Sc 2.27, 2 Pa 2.28
9 Pa 0.2500 0.7500 0.5000  8 O 2.28
10 O 0.1232 0.6250 0.7500  2 Sc 2.27, 2 Pa 2.28
11 O 0.3750 0.3732 0.2500  2 Sc 2.27, 2 Pa 2.28
12 O 0.8750 0.3732 0.2500  2 Sc 2.27, 2 Pa 2.28

---

Record 14
The following is a DFT calculation (PBE) of a relaxed structure of CsK3RbHg.

## Properties
Energy of formation (eV/atom): -0.067

Lattice parameters (Å, degrees): 11.5640 5.8721 14.7407 78.51 84.20 59.50
With the nearest neighbours (Å) after each atom.
Fractional positions:
1 Cs 0.2500 0.2156 0.5688  2 K 4.86, 2 Rb 4.89, 2 Cs 5.36
2 Hg 0.2500 0.9806 0.0389  7 K 3.67-3.78
3 K 0.0463 0.6477 0.1121  3 Hg 3.67-3.72, 1 K 4.06
4 K 0.2500 0.8498 0.3004  1 Hg 3.78
5 K 0.7500 0.1502 0.6996  1 Hg 3.78
6 Hg 0.7500 0.0194 0.9611  7 K 3.67-3.78
7 K 0.9537 0.3523 0.8879  3 Hg 3.67-3.72, 1 K 4.06
8 Cs 0.7500 0.7844 0.4312  2 K 4.86, 2 Rb 4.89, 2 Cs 5.36
9 K 0.5463 0.7598 0.8879  3 Hg 3.67-3.72, 1 K 4.06
10 Rb 0.7500 0.4198 0.1605  2 Hg 4.11, 6 K 4.22-4.43
11 Rb 0.2500 0.5802 0.8395  2 Hg 4.11, 6 K 4.22-4.43
12 K 0.4537 0.2402 0.1121  3 Hg 3.67-3.72, 1 K 4.06

---

Record 15
The following is a DFT calculation (PBE) of a relaxed structure of KLiAlF6.

## Properties
E_tot (eV per atom): -4.8410

Lattice parameters (Å, degrees): 7.1015 6.7627 7.0635 118.60 120.18 90.00
With the nearest neighbours (Å) after each atom.
Fractional positions:
1 F 0.8382 0.6892 0.2507  1 Al 1.81
2 K 0.1171 0.3671 0.2341  5 F 2.69-2.94
3 Li 0.5000 0.5000 0.0000  6 F 2.02-2.07
4 F 0.1618 0.9385 0.7493  1 Al 1.81
5 F 0.3821 0.6321 0.7641  2 Li 2.07
6 F 0.4126 0.0615 0.2507  1 Al 1.81
7 Al 0.5000 0.0000 0.5000  6 F 1.81-1.84
8 F 0.6179 0.3679 0.2359  2 Li 2.07
9 F 0.2036 0.9536 0.4072  2 Al 1.84
10 F 0.5874 0.3108 0.7493  1 Al 1.81
11 Li 0.5000 0.0000 0.0000  6 F 2.02-2.07
12 F 0.4126 0.6892 0.2507  1 Al 1.81
13 F 0.5874 0.9385 0.7493  1 Al 1.81
14 F 0.1618 0.3108 0.7493  1 Al 1.81
15 F 0.7964 0.0464 0.5928  2 Al 1.84
16 Al 0.0000 0.0000 0.5000  6 F 1.81-1.84
17 F 0.8382 0.0615 0.2507  1 Al 1.81
18 K 0.8829 0.6329 0.7659  5 F 2.69-2.94

---

Record 16
The following is a DFT calculation (PBE) of a relaxed structure of Hf2Mn3Ga.

## Properties
Energy of formation (eV/atom): -0.292

Lattice parameters (Å, degrees): 4.9141 4.9141 5.0517 90.07 119.10 119.91
With the nearest neighbours (Å) after each atom.
Fractional positions:
1 Mn 0.0000 0.0000 0.5000  4 Mn 2.46, 2 Ga 2.53
2 Ga 0.0000 0.0000 0.0000  6 Mn 2.53
3 Hf 0.2396 0.6196 0.8592  9 Mn 2.88-3.03, 3 Ga 2.90, 4 Hf 3.00-3.07
4 Mn 0.5000 0.5000 0.5000  4 Mn 2.46, 2 Ga 2.53
5 Mn 0.5000 0.0000 0.5000  4 Mn 2.46, 2 Ga 2.53
6 Hf 0.7604 0.3804 0.1408  9 Mn 2.88-3.03, 3 Ga 2.90, 4 Hf 3.00-3.07

---

Record 17
The following is a DFT calculation (PBE) of a relaxed structure of ZnHPt2Au.

## Properties
Distance to the lowest polymorph of the same formula (meV/atom): 7

Lattice parameters (Å, degrees): 4.0216 4.0216 4.1179 90.00 90.00 90.00
With the nearest neighbours (Å) after each atom.
Fractional positions:
1 Pt 0.0000 0.5000 0.0000  2 H 2.01
2 H 0.0000 0.0000 0.0000  4 Pt 2.01, 2 Au 2.06
3 Pt 0.5000 0.0000 0.0000  2 H 2.01
4 Zn 0.5000 0.5000 0.5000  4 Au 2.84, 8 Pt 2.88
5 Au 0.0000 0.0000 0.5000  2 H 2.06

---

Record 18
The following is a DFT calculation (PBE) of a relaxed structure of KNaGa2.

## Properties
Energy of formation (eV/atom): -0.113
Distance to the lowest polymorph of the same formula (meV/atom): 0

Lattice parameters (Å, degrees): 4.4442 8.3422 7.6352 90.00 90.00 105.39
With the nearest neighbours (Å) after each atom.
Fractional positions:
1 K 0.4069 0.8138 0.7500  6 Ga 3.58-3.60
2 Na 0.8626 0.7268 0.2500  6 Ga 3.12-3.16
3 Na 0.1374 0.2732 0.7500  6 Ga 3.12-3.16
4 Ga 0.2488 0.4976 0.4167  3 Ga 2.54-2.56
5 K 0.5931 0.1862 0.2500  6 Ga 3.58-3.60
6 Ga 0.2488 0.4976 0.0833  3 Ga 2.54-2.56
7 Ga 0.7512 0.5024 0.9167  3 Ga 2.54-2.56
8 Ga 0.7512 0.5024 0.5833  3 Ga 2.54-2.56

---

Record 19
The following is a DFT calculation (PBE) of a relaxed structure of Ba3NaCd2.

## Properties
Energy of formation (eV/atom): -0.228

Lattice parameters (Å, degrees): 4.2858 4.2858 13.8595 90.00 90.00 90.00
With the nearest neighbours (Å) after each atom.
Fractional positions:
1 Ba 0.0000 0.0000 0.3020  4 Cd 3.63
2 Ba 0.0000 0.0000 0.6980  4 Cd 3.63
3 Cd 0.5000 0.5000 0.8415  8 Ba 3.63-3.74
4 Cd 0.5000 0.5000 0.1585  8 Ba 3.63-3.74
5 Ba 0.0000 0.0000 0.0000  8 Cd 3.74, 2 Ba 4.19
6 Na 0.5000 0.5000 0.5000  8 Ba 4.09, 4 Na 4.29

---

Record 20
The following is a DFT calculation (PBE) of a relaxed structure of AcNd2S.

## Properties
E_tot (eV per atom): -5.2275

Lattice parameters (Å, degrees): 3.8905 3.8905 10.8998 79.72 79.72 60.00
With the nearest neighbours (Å) after each atom.
Fractional positions:
1 S 0.5000 0.5000 0.5000  6 Nd 2.79
2 Ac 0.0000 0.0000 0.0000  2 Nd 3.68, 6 Ac 3.89
3 Nd 0.1149 0.1149 0.6554  3 S 2.79
4 Nd 0.8851 0.8851 0.3446  3 S 2.79